No. 1
Density functional theory data (PBE) for TaSb2Rh after structural relaxation.

Total DFT energy (no corrections): -6.927 eV/atom
Space-group type: P4/mmm (123)
Raw formation energy: -0.06 eV per atom
V: 76 Å³/cell
Magnetic moment: 0.00 μB per cell

Cell lengths 4.6999, 4.6999, 3.4187 Å; angles 90.00, 90.00, 90.00 degrees
Sites, in units of the cell vectors:
Sb 0.0000 0.5000 0.0000
Sb 0.5000 0.0000 0.0000
Rh 0.0000 0.0000 0.5000
Ta 0.5000 0.5000 0.5000

No. 2
Density functional theory data (PBE) for Ta2SbRh after structural relaxation.

Total DFT energy (no corrections): -8.712 eV/atom
Space-group type: F-43m (216)
Raw formation energy: 0.08 eV per atom
V: 71 Å³/cell
Magnetic moment: 0.00 μB per cell

Cell lengths 4.6575, 4.6575, 4.6575 Å; angles 60.00, 60.00, 60.00 degrees
Sites, in units of the cell vectors:
Sb 0.2500 0.2500 0.2500
Ta 0.7500 0.7500 0.7500
Ta 0.0000 0.0000 0.0000
Rh 0.5000 0.5000 0.5000